VASP calculation (PBE) on crystalline CsMg3Tl3 at its relaxed geometry.

Cell lengths 8.200, 8.200, 8.200 Å; angles 90.00, 90.00, 90.00 degrees
Atoms (fractional coordinates):
1 Cs 0.500 0.500 0.500
2 Cs 0.000 0.000 0.000
3 Tl 0.250 0.000 0.500
4 Tl 0.000 0.500 0.250
5 Tl 0.500 0.750 0.000
6 Tl 0.750 0.000 0.500
7 Tl 0.000 0.500 0.750
8 Tl 0.500 0.250 0.000
9 Mg 0.000 0.250 0.500
10 Mg 0.000 0.750 0.500
11 Mg 0.500 0.000 0.750
12 Mg 0.750 0.500 0.000
13 Mg 0.500 0.000 0.250
14 Mg 0.250 0.500 0.000

Calculated values
crystal system	cubic
space-group type	Pm-3n
formation energy	0.168	eV/atom

VASP calculation (PBE) on crystalline Ho3MgTe6 at its relaxed geometry.

Cell lengths 7.513, 9.365, 9.365 Å; angles 99.54, 90.00, 90.00 degrees
Atoms (fractional coordinates):
1 Ho 0.484 0.922 0.726
2 Ho 0.984 0.726 0.922
3 Ho 0.385 0.404 0.596
4 Ho 0.885 0.596 0.404
5 Ho 0.984 0.078 0.274
6 Ho 0.484 0.274 0.078
7 Mg 0.011 0.212 0.788
8 Mg 0.511 0.788 0.212
9 Te 0.182 0.705 0.626
10 Te 0.682 0.626 0.705
11 Te 0.216 0.454 0.903
12 Te 0.716 0.903 0.454
13 Te 0.183 0.037 0.963
14 Te 0.642 0.229 0.771
15 Te 0.142 0.771 0.229
16 Te 0.683 0.963 0.037
17 Te 0.216 0.097 0.546
18 Te 0.716 0.546 0.097
19 Te 0.182 0.374 0.295
20 Te 0.682 0.295 0.374

Calculated values
crystal system	orthorhombic
space-group type	Cmc2_1
formation energy (no corrections)	-1.121	eV per atom

What did the first record say?
VASP calculation (PBE) on crystalline CsMg3Tl3 at its relaxed geometry.

Cell lengths 8.200, 8.200, 8.200 Å; angles 90.00, 90.00, 90.00 degrees
Atoms (fractional coordinates):
1 Cs 0.500 0.500 0.500
2 Cs 0.000 0.000 0.000
3 Tl 0.250 0.000 0.500
4 Tl 0.000 0.500 0.250
5 Tl 0.500 0.750 0.000
6 Tl 0.750 0.000 0.500
7 Tl 0.000 0.500 0.750
8 Tl 0.500 0.250 0.000
9 Mg 0.000 0.250 0.500
10 Mg 0.000 0.750 0.500
11 Mg 0.500 0.000 0.750
12 Mg 0.750 0.500 0.000
13 Mg 0.500 0.000 0.250
14 Mg 0.250 0.500 0.000

Calculated values
crystal system	cubic
space-group type	Pm-3n
formation energy	0.168	eV/atom